The following is a PBE calculation of crystalline MnCoCl6 at its relaxed geometry, from Alexandria.

Cell and atoms, written as POSCAR:
```
MnCoCl6
1.0
5.939 0.008 0.007
2.962 5.147 0.011
2.961 1.711 5.292
Mn Co Cl
1 1 6
direct
0.000 0.000 0.000
0.500 0.500 0.500
0.110 0.400 0.747
0.743 0.110 0.747
0.600 0.257 0.253
0.257 0.890 0.253
0.890 0.600 0.253
0.400 0.743 0.747
```

Summary:
As for the space group: R-3 (148). The value obtained for the density is 3.359 Mg/m³. The calculation puts the raw total energy at -4.0383 eV/atom. As for the crystal system: trigonal. The value obtained for the excess energy over the best structure of this formula in the dataset is 36 meV/atom.



The following is a PBE calculation of crystalline MnCo2Cl at its relaxed geometry, from Alexandria.

Cell and atoms, written as POSCAR:
```
MnCo2Cl
1.0
-1.071 -3.507 -1.378
-1.184 -3.375 1.598
-6.068 1.740 -0.308
Cl Co Mn
1 2 1
direct
0.098 0.098 0.263
0.083 0.083 0.902
0.800 0.800 0.779
0.519 0.519 0.556
```

Summary:
As for the space group: Cm (8). The value obtained for the density is 5.070 Mg/m³. The calculation puts the raw total energy at -6.1018 eV/atom. As for the crystal system: monoclinic. The value obtained for the excess energy over the best structure of this formula in the dataset is 75 meV/atom.



The following is a PBE calculation of crystalline MnCoCl2 at its relaxed geometry, from Alexandria.

Cell and atoms, written as POSCAR:
```
MnCoCl2
1.0
-4.816 -3.549 1.505
-3.029 -4.446 -3.018
5.462 2.308 1.700
Mn Co Cl
1 1 2
direct
0.750 0.250 0.500
0.500 0.500 0.000
0.000 0.000 0.000
0.250 0.750 0.500
```

Summary:
As for the space group: I-4m2 (119). The value obtained for the density is 4.440 Mg/m³. The calculation puts the raw total energy at -4.8241 eV/atom. As for the crystal system: tetragonal. The value obtained for the excess energy over the best structure of this formula in the dataset is 469 meV/atom.



The following is a PBE calculation of crystalline MnCoCl2 at its relaxed geometry, from Alexandria.

Cell and atoms, written as POSCAR:
```
MnCoCl2
1.0
-2.826 -2.737 2.079
-1.052 0.709 4.265
-4.078 1.415 1.080
Mn Co Cl
1 1 2
direct
0.000 0.000 0.000
0.500 0.500 0.500
0.250 0.250 0.250
0.750 0.750 0.750
```

Summary:
As for the space group: Fm-3m (225). The value obtained for the density is 4.925 Mg/m³. The calculation puts the raw total energy at -4.7256 eV/atom. As for the crystal system: cubic. The value obtained for the excess energy over the best structure of this formula in the dataset is 568 meV/atom.



The following is a PBE calculation of crystalline MnCo2Cl at its relaxed geometry, from Alexandria.

Cell and atoms, written as POSCAR:
```
MnCo2Cl
1.0
-2.540 0.673 0.999
0.084 -1.102 -2.585
-0.700 -7.107 3.007
Cl Co Mn
1 2 1
direct
0.500 0.500 0.750
0.000 0.000 0.003
0.000 0.000 0.497
0.500 0.500 0.250
```

Summary:
As for the space group: Cmmm (65). The value obtained for the density is 6.313 Mg/m³. The calculation puts the raw total energy at -5.8770 eV/atom. As for the crystal system: orthorhombic. The value obtained for the excess energy over the best structure of this formula in the dataset is 300 meV/atom.



The following is a PBE calculation of crystalline MnCo2Cl at its relaxed geometry, from Alexandria.

Cell and atoms, written as POSCAR:
```
MnCo2Cl
1.0
-5.463 0.064 -2.575
-2.836 -4.201 -3.285
2.803 1.767 5.050
Cl Co Mn
1 2 1
direct
0.179 0.679 0.500
0.005 0.005 0.000
0.845 0.345 0.500
0.471 0.471 0.000
```

Summary:
As for the space group: Imm2 (44). The value obtained for the density is 5.152 Mg/m³. The calculation puts the raw total energy at -5.8560 eV/atom. As for the crystal system: orthorhombic. The value obtained for the excess energy over the best structure of this formula in the dataset is 321 meV/atom.



The following is a PBE calculation of crystalline MnCoCl2 at its relaxed geometry, from Alexandria.

Cell and atoms, written as POSCAR:
```
MnCoCl2
1.0
3.240 0.000 0.000
0.000 3.844 -0.344
0.000 0.950 6.876
Mn Co Cl
1 1 2
direct
0.500 0.737 0.680
0.000 0.270 0.576
0.000 0.040 0.883
0.500 0.453 0.361
```

Summary:
As for the space group: Pm (6). The value obtained for the density is 3.539 Mg/m³. The calculation puts the raw total energy at -5.2619 eV/atom. As for the crystal system: monoclinic. The value obtained for the excess energy over the best structure of this formula in the dataset is 32 meV/atom.



The following is a PBE calculation of crystalline MnCo2Cl at its relaxed geometry, from Alexandria.

Cell and atoms, written as POSCAR:
```
MnCo2Cl
1.0
-2.305 -0.408 -1.747
-0.207 -2.841 0.936
-4.112 1.939 4.972
Cl Co Mn
1 2 1
direct
0.500 0.751 0.757
0.000 0.750 0.052
0.500 0.250 0.233
0.000 0.750 0.457
```

Summary:
As for the space group: Pmm2 (25). The value obtained for the density is 5.861 Mg/m³. The calculation puts the raw total energy at -6.1773 eV/atom. As for the crystal system: orthorhombic. The value obtained for the excess energy over the best structure of this formula in the dataset is 0 meV/atom.



The following is a PBE calculation of crystalline MnCoCl2 at its relaxed geometry, from Alexandria.

Cell and atoms, written as POSCAR:
```
MnCoCl2
1.0
1.817 0.000 7.224
-0.908 1.573 7.224
-0.908 -1.573 7.224
Mn Co Cl
1 1 2
direct
0.500 0.500 0.500
0.000 0.000 0.000
0.900 0.900 0.900
0.100 0.100 0.100
```

Summary:
As for the space group: R-3m (166). The value obtained for the density is 4.953 Mg/m³. The calculation puts the raw total energy at -4.6614 eV/atom. As for the crystal system: trigonal. The value obtained for the excess energy over the best structure of this formula in the dataset is 632 meV/atom.



The following is a PBE calculation of crystalline MnCoCl2 at its relaxed geometry, from Alexandria.

Cell and atoms, written as POSCAR:
```
MnCoCl2
1.0
3.362 0.000 0.000
-1.858 2.802 0.000
0.000 0.000 7.553
Mn Co Cl
1 1 2
direct
0.500 0.500 0.750
0.500 0.500 0.250
0.000 0.000 0.013
0.000 0.000 0.487
```

Summary:
As for the space group: Cmmm (65). The value obtained for the density is 4.312 Mg/m³. The calculation puts the raw total energy at -4.8468 eV/atom. As for the crystal system: orthorhombic. The value obtained for the excess energy over the best structure of this formula in the dataset is 447 meV/atom.



The following is a PBE calculation of crystalline MnCo2Cl at its relaxed geometry, from Alexandria.

Cell and atoms, written as POSCAR:
```
MnCo2Cl
1.0
-1.933 -2.038 0.665
3.058 -2.595 0.937
-0.070 1.469 4.294
Cl Co Mn
1 2 1
direct
0.000 0.500 0.500
0.000 0.000 0.000
0.500 0.500 0.000
0.500 0.000 0.500
```

Summary:
As for the space group: Pmmm (47). The value obtained for the density is 6.409 Mg/m³. The calculation puts the raw total energy at -5.7701 eV/atom. As for the crystal system: orthorhombic. The value obtained for the excess energy over the best structure of this formula in the dataset is 407 meV/atom.



The following is a PBE calculation of crystalline MnCoCl2 at its relaxed geometry, from Alexandria.

Cell and atoms, written as POSCAR:
```
MnCoCl2
1.0
-8.073 2.381 2.776
-8.850 0.345 0.329
-8.179 -0.851 3.305
Mn Co Cl
1 1 2
direct
0.756 0.756 0.756
0.498 0.498 0.498
0.030 0.030 0.030
0.216 0.216 0.216
```

Summary:
As for the space group: R3m (160). The value obtained for the density is 3.811 Mg/m³. The calculation puts the raw total energy at -5.2935 eV/atom. As for the crystal system: trigonal. The value obtained for the excess energy over the best structure of this formula in the dataset is 0 meV/atom.



The following is a PBE calculation of crystalline MnCoCl2 at its relaxed geometry, from Alexandria.

Cell and atoms, written as POSCAR:
```
MnCoCl2
1.0
3.140 0.000 0.000
0.000 5.844 0.000
0.000 0.000 3.813
Mn Co Cl
1 1 2
direct
0.000 0.500 0.500
0.500 0.000 0.500
0.000 0.000 0.000
0.500 0.500 0.000
```

Summary:
As for the space group: Pmmm (47). The value obtained for the density is 4.386 Mg/m³. The calculation puts the raw total energy at -4.8593 eV/atom. As for the crystal system: orthorhombic. The value obtained for the excess energy over the best structure of this formula in the dataset is 434 meV/atom.



The following is a PBE calculation of crystalline MnCo2Cl at its relaxed geometry, from Alexandria.

Cell and atoms, written as POSCAR:
```
MnCo2Cl
1.0
7.615 -0.099 -0.058
7.117 2.711 -0.058
7.117 1.262 2.400
Cl Co Mn
1 2 1
direct
0.750 0.750 0.750
0.998 0.998 0.998
0.502 0.502 0.502
0.250 0.250 0.250
```

Summary:
As for the space group: R-3m (166). The value obtained for the density is 6.593 Mg/m³. The calculation puts the raw total energy at -5.9550 eV/atom. As for the crystal system: trigonal. The value obtained for the excess energy over the best structure of this formula in the dataset is 222 meV/atom.



The following is a PBE calculation of crystalline MnCo2Cl at its relaxed geometry, from Alexandria.

Cell and atoms, written as POSCAR:
```
MnCo2Cl
1.0
4.769 0.695 0.000
1.387 4.615 0.000
-3.078 -2.655 2.589
Cl Co Mn
1 2 1
direct
0.750 0.250 0.500
0.000 0.000 0.000
0.250 0.750 0.500
0.500 0.500 0.000
```

Summary:
As for the space group: I-4m2 (119). The value obtained for the density is 6.348 Mg/m³. The calculation puts the raw total energy at -5.6610 eV/atom. As for the crystal system: tetragonal. The value obtained for the excess energy over the best structure of this formula in the dataset is 516 meV/atom.



The following is a PBE calculation of crystalline MnCoCl2 at its relaxed geometry, from Alexandria.

Cell and atoms, written as POSCAR:
```
MnCoCl2
1.0
5.010 -0.033 0.076
-0.798 4.947 0.076
1.311 1.529 2.949
Mn Co Cl
1 1 2
direct
0.000 0.500 0.500
0.500 0.000 0.500
0.000 0.000 0.000
0.500 0.500 0.000
```

Summary:
As for the space group: C2/m (12). The value obtained for the density is 4.271 Mg/m³. The calculation puts the raw total energy at -4.8711 eV/atom. As for the crystal system: monoclinic. The value obtained for the excess energy over the best structure of this formula in the dataset is 422 meV/atom.



The following is a PBE calculation of crystalline MnCoCl5 at its relaxed geometry, from Alexandria.

Cell and atoms, written as POSCAR:
```
MnCoCl5
1.0
6.242 -0.106 -2.307
-1.086 6.258 -2.353
-0.010 -0.088 9.320
Mn Co Cl
2 2 10
direct
0.500 0.000 0.000
0.500 0.000 0.500
0.867 0.634 0.256
0.133 0.366 0.744
0.751 0.720 0.039
0.235 0.679 0.372
0.402 0.016 0.218
0.769 0.784 0.472
0.231 0.216 0.528
0.813 0.276 0.186
0.187 0.724 0.814
0.598 0.984 0.782
0.765 0.321 0.628
0.249 0.280 0.961
```

Summary:
As for the space group: P-1 (2). The value obtained for the density is 2.676 Mg/m³. The calculation puts the raw total energy at -4.3647 eV/atom. As for the crystal system: triclinic.



The following is a PBE calculation of crystalline MnCoCl3 at its relaxed geometry, from Alexandria.

Cell and atoms, written as POSCAR:
```
MnCoCl3
1.0
4.605 0.000 0.000
0.000 4.605 0.000
0.000 0.000 4.605
Mn Co Cl
1 1 3
direct
0.500 0.500 0.500
0.000 0.000 0.000
0.000 0.500 0.000
0.000 0.000 0.500
0.500 0.000 0.000
```

Summary:
As for the space group: Pm-3m (221). The value obtained for the density is 3.746 Mg/m³. The calculation puts the raw total energy at -4.4260 eV/atom. As for the crystal system: cubic. The value obtained for the excess energy over the best structure of this formula in the dataset is 0 meV/atom.



The following is a PBE calculation of crystalline MnCo2Cl at its relaxed geometry, from Alexandria.

Cell and atoms, written as POSCAR:
```
MnCo2Cl
1.0
-3.336 3.512 -0.292
-4.166 1.710 1.808
2.097 2.321 2.820
Cl Co Mn
1 2 1
direct
0.250 0.250 0.250
0.032 0.032 0.959
0.468 0.468 0.541
0.750 0.750 0.750
```

Summary:
As for the space group: C2/m (12). The value obtained for the density is 6.138 Mg/m³. The calculation puts the raw total energy at -5.8662 eV/atom. As for the crystal system: monoclinic. The value obtained for the excess energy over the best structure of this formula in the dataset is 311 meV/atom.



The following is a PBE calculation of crystalline MnCoCl2 at its relaxed geometry, from Alexandria.

Cell and atoms, written as POSCAR:
```
MnCoCl2
1.0
4.595 0.000 0.000
2.297 3.979 0.000
2.297 1.326 3.752
Mn Co Cl
1 1 2
direct
0.250 0.250 0.250
0.500 0.500 0.500
0.000 0.000 0.000
0.750 0.750 0.750
```

Summary:
As for the space group: F-43m (216). The value obtained for the density is 4.473 Mg/m³. The calculation puts the raw total energy at -4.4273 eV/atom. As for the crystal system: cubic. The value obtained for the excess energy over the best structure of this formula in the dataset is 866 meV/atom.